## Cu2CSeS (PBE-GGA)

Data for a relaxed structure of Cu2CSeS.

Summary:
As for the formation energy from raw total energies: 1487 meV/atom. Its size of the total moment is 1.18 μB per formula unit. The density of states at the Fermi level comes out at 0.334 states/eV per atom.

```
5
Lattice="4.144 0.000 0.000 0.000 4.144 0.000 0.000 0.000 5.634" Properties=species:S:1:pos:R:3 pbc="T T T"
Cu 0.000 2.072 0.000
Cu 2.072 0.000 0.000
C 0.000 0.000 2.817
Se 2.072 2.072 2.817
S 2.072 2.072 0.000
```


## SrCuC2S (PBE-GGA)

Data for a relaxed structure of SrCuC2S.

Summary:
As for the formation energy from raw total energies: 1126 meV/atom. Its size of the total moment is 1.18 μB per formula unit. The density of states at the Fermi level comes out at 0.592 states/eV per atom.

```
5
Lattice="4.017 0.000 0.000 0.000 4.017 0.000 0.000 0.000 5.000" Properties=species:S:1:pos:R:3 pbc="T T T"
Sr 0.000 0.000 0.000
Cu 2.008 2.008 2.500
C 0.000 2.008 2.500
C 2.008 0.000 2.500
S 2.008 2.008 0.000
```


## SrCu2CS (PBE-GGA)

Data for a relaxed structure of SrCu2CS.

Summary:
As for the formation energy from raw total energies: 24 meV/atom. Its size of the total moment is 0.61 μB per formula unit. The density of states at the Fermi level comes out at 1.339 states/eV per atom.

```
5
Lattice="3.955 0.000 0.000 0.000 3.955 0.000 0.000 0.000 5.727" Properties=species:S:1:pos:R:3 pbc="T T T"
Sr 0.000 0.000 0.000
Cu 0.000 1.978 2.863
Cu 1.978 0.000 2.863
C 0.000 0.000 2.863
S 1.978 1.978 0.000
```


## CuTeCS2 (PBE-GGA)

Data for a relaxed structure of CuTeCS2.

Summary:
As for the formation energy from raw total energies: 1032 meV/atom. Its size of the total moment is 0.00 μB per formula unit. The density of states at the Fermi level comes out at 0.630 states/eV per atom.

```
5
Lattice="4.602 0.000 0.000 0.000 4.602 0.000 0.000 0.000 3.784" Properties=species:S:1:pos:R:3 pbc="T T T"
Cu 0.000 0.000 0.000
Te 2.301 2.301 0.000
C 0.000 0.000 1.892
S 0.000 2.301 1.892
S 2.301 0.000 1.892
```


## Th6CuC3S2 (PBE-GGA)

Data for a relaxed structure of Th6CuC3S2.

Summary:
As for the formation energy from raw total energies: -835 meV/atom. Its size of the total moment is 0.00 μB per formula unit. The density of states at the Fermi level comes out at 0.547 states/eV per atom.

```
12
Lattice="8.720 -1.919 0.000 8.720 1.919 0.000 -2.388 0.000 7.744" Properties=species:S:1:pos:R:3 pbc="T T T"
Th -0.372 0.000 1.746
Th 4.613 0.000 3.395
Th 3.787 0.000 6.955
Th 11.265 0.000 0.789
Th 10.438 0.000 4.349
Th 15.423 0.000 5.998
Cu 7.526 0.000 3.872
C 2.142 0.000 2.572
C 8.720 0.000 0.000
C 12.910 0.000 5.172
S 0.903 0.000 6.440
S 14.149 0.000 1.304
```


## TiCu2CS (PBE-GGA)

Data for a relaxed structure of TiCu2CS.

Summary:
As for the formation energy from raw total energies: 1851 meV/atom. Its size of the total moment is 0.85 μB per formula unit. The density of states at the Fermi level comes out at 0.773 states/eV per atom.

```
5
Lattice="4.834 0.000 0.000 0.000 4.834 0.000 0.000 0.000 4.429" Properties=species:S:1:pos:R:3 pbc="T T T"
Ti 0.000 0.000 0.000
Cu 0.000 2.417 0.000
Cu 2.417 0.000 0.000
C 2.417 2.417 2.214
S 0.000 0.000 2.214
```


## CuSbC2 (PBE-GGA)

Data for a relaxed structure of CuSbC2.

Summary:
As for the formation energy from raw total energies: 1330 meV/atom. Its size of the total moment is 0.00 μB per formula unit. The density of states at the Fermi level comes out at 0.443 states/eV per atom.

```
8
Lattice="-2.396 2.396 4.846 2.396 -2.396 4.846 2.396 2.396 -4.846" Properties=species:S:1:pos:R:3 pbc="T T T"
Cu 0.000 0.000 0.000
Cu 0.000 2.396 2.423
Sb 2.396 0.000 2.423
Sb 0.000 0.000 4.846
C 3.593 1.059 -1.211
C 1.059 1.198 1.211
C -1.198 1.337 3.634
C 1.337 1.198 6.057
```


## ScCuC2 (PBE-GGA)

Data for a relaxed structure of ScCuC2.

Summary:
Its size of the total moment is 0.00 μB per formula unit. The density of states at the Fermi level comes out at 0.124 states/eV per atom. The energy of formation from the pure elements comes out at 0.789 eV per atom.

```
8
Lattice="-1.934 1.934 6.302 1.934 -1.934 6.302 1.934 1.934 -6.302" Properties=species:S:1:pos:R:3 pbc="T T T"
Sc 0.000 0.000 0.000
Sc 0.000 1.934 3.151
Cu 1.934 0.000 3.151
Cu 0.000 0.000 6.302
C 0.967 -0.490 4.727
C 1.444 0.967 1.576
C 0.967 2.423 -1.576
C 0.490 0.967 7.878
```